Density functional theory data (PBEsol) for a geometry-optimized MgCoIr2 structure.

Output
- Energy of formation: 0.42 eV per atom
- Fermi-level density of states: 1.036 states/eV per atom
- VASP energy: -6.8554 eV/atom
- M_tot: 6.251 μB/cell
- Space group: No. 122

```
16
Lattice="7.1140 0.0000 0.0000 0.0000 7.1140 0.0000 0.0000 0.0000 4.8618" Properties=species:S:1:pos:R:3 pbc="T T T"
Mg 0.0000 0.0000 0.0000
Mg 0.0000 3.5570 1.2155
Mg 3.5570 0.0000 3.6464
Mg 3.5570 3.5570 2.4309
Co 0.0000 0.0000 2.4309
Co 0.0000 3.5570 3.6464
Co 3.5570 0.0000 1.2155
Co 3.5570 3.5570 0.0000
Ir 1.3799 5.3355 3.0386
Ir 1.7785 1.3799 1.8232
Ir 1.7785 2.1771 4.2541
Ir 2.1771 5.3355 0.6077
Ir 4.9369 1.7785 0.6077
Ir 5.3355 4.9369 4.2541
Ir 5.3355 5.7341 1.8232
Ir 5.7341 1.7785 3.0386
```